# 1
Density functional theory data (GGA-PBE) for Mn2GaSi2 after structural relaxation.

Structure (POSCAR):
```
Mn2GaSi2
1.0
3.387 0.000 0.000
0.000 3.387 0.000
0.000 0.000 11.588
Mn Ga Si
4 2 4
Cartesian
0.000 0.000 1.212
0.000 0.000 10.376
1.693 1.693 4.582
1.693 1.693 7.006
0.000 0.000 5.794
1.693 1.693 0.000
0.000 1.693 2.897
0.000 1.693 8.691
1.693 0.000 2.897
1.693 0.000 8.691
```

## Properties
* E_form (uncorrected): -114 meV per atom
* offset from the most stable computed form: 0.034 eV/atom


# 2
Density functional theory data (GGA-PBE) for Mn2GaSi2 after structural relaxation.

Structure (POSCAR):
```
Mn2GaSi2
1.0
7.079 0.000 0.000
0.000 7.079 0.000
0.000 0.000 2.577
Mn Ga Si
4 2 4
Cartesian
1.083 2.457 0.000
2.457 5.996 0.000
4.622 1.083 0.000
5.996 4.622 0.000
0.000 0.000 1.289
3.540 3.540 1.289
0.989 4.529 1.289
2.550 0.989 1.289
4.529 6.090 1.289
6.090 2.550 1.289
```

## Properties
* E_form (uncorrected): -89 meV per atom
* offset from the most stable computed form: 0.059 eV/atom


# 3
Density functional theory data (GGA-PBE) for SrMnGa2Si after structural relaxation.

Structure (POSCAR):
```
SrMnGa2Si
1.0
4.682 0.000 0.000
0.000 4.682 0.000
0.000 0.000 4.480
Sr Mn Ga Si
1 1 2 1
Cartesian
0.000 0.000 0.000
2.341 2.341 2.240
0.000 2.341 2.240
2.341 0.000 2.240
2.341 2.341 0.000
```

## Properties
* E_form (uncorrected): -287 meV per atom


# 4
Density functional theory data (GGA-PBE) for MnGaSiTc after structural relaxation.

Structure (POSCAR):
```
MnGaSiTc
1.0
5.972 0.000 0.000
0.000 5.972 0.000
0.000 0.000 5.972
Mn Ga Si Tc
4 4 4 4
Cartesian
0.000 0.000 0.000
0.000 2.986 2.986
2.986 0.000 2.986
2.986 2.986 0.000
1.493 1.493 1.493
1.493 4.479 4.479
4.479 1.493 4.479
4.479 4.479 1.493
1.493 1.493 4.479
1.493 4.479 1.493
4.479 1.493 1.493
4.479 4.479 4.479
0.000 0.000 2.986
0.000 2.986 0.000
2.986 0.000 0.000
2.986 2.986 2.986
```

## Properties
* E_form (uncorrected): -175 meV per atom


Please write out number 4 again, unchanged.
Density functional theory data (GGA-PBE) for MnGaSiTc after structural relaxation.

Structure (POSCAR):
```
MnGaSiTc
1.0
5.972 0.000 0.000
0.000 5.972 0.000
0.000 0.000 5.972
Mn Ga Si Tc
4 4 4 4
Cartesian
0.000 0.000 0.000
0.000 2.986 2.986
2.986 0.000 2.986
2.986 2.986 0.000
1.493 1.493 1.493
1.493 4.479 4.479
4.479 1.493 4.479
4.479 4.479 1.493
1.493 1.493 4.479
1.493 4.479 1.493
4.479 1.493 1.493
4.479 4.479 4.479
0.000 0.000 2.986
0.000 2.986 0.000
2.986 0.000 0.000
2.986 2.986 2.986
```

## Properties
* E_form (uncorrected): -175 meV per atom